Density functional theory data (GGA+U) for an optimized crystal structure of KVOF2.

```
KVOF2
1.0
4.217 0.000 0.000
0.000 4.217 0.000
0.000 0.000 3.808
K F O V
1 2 1 1
Direct
0.500 0.500 0.500 K
0.000 0.500 0.000 F
0.500 0.000 0.000 F
0.000 0.000 0.500 O
0.000 0.000 0.000 V
```

Space group ... No. 123
Fermi-level density of states ... 0.95 states/eV per cell
E_tot ... -29.79 eV per cell
Theoretical density ... 3.53 g/cm3
Size of the total moment ... 2.0 μB/cell
E above lowest polymorph ... 0.000 eV/atom